Record 1
This record from Alexandria describes an optimized crystal structure of RbLiMn2B. The functional is PBE-GGA.

Cell and atoms, written as extended XYZ:
```
5
Lattice="-0.412 -2.953 3.138 -3.266 -2.676 -2.946 3.321 -2.226 -1.659" Properties=species:S:1:pos:R:3 pbc="T T T"
Mn 1.660 -1.113 -0.830
Mn -0.206 -1.476 1.569
B 0.000 0.000 0.000
Rb -0.179 -3.927 -0.733
Li -1.633 -1.338 -1.473
```

Computed properties:
- energy relative to the elements (eV per atom) = 0.670
- density (g cm⁻³) = 3.668
- total magnetization (μB/atom) = 1.50


Record 2
This record from Alexandria describes an optimized crystal structure of RbLiMnB2. The functional is PBE-GGA.

Cell and atoms, written as extended XYZ:
```
5
Lattice="4.248 0.000 0.000 0.000 4.587 0.000 0.000 0.000 4.248" Properties=species:S:1:pos:R:3 pbc="T T T"
Li 0.000 0.000 0.000
Mn 2.124 2.294 2.124
B 2.124 0.000 0.000
B 0.000 0.000 2.124
Rb 0.000 2.294 0.000
```

Computed properties:
- energy relative to the elements (eV per atom) = 2.377
- density (g cm⁻³) = 3.389
- total magnetization (μB/atom) = 0.04


Record 3
This record from Alexandria describes an optimized crystal structure of Li2ScMnB. The functional is PBE-GGA.

Cell and atoms, written as extended XYZ:
```
5
Lattice="-1.180 -2.945 2.624 3.884 -0.553 1.126 -0.457 2.823 2.962" Properties=species:S:1:pos:R:3 pbc="T T T"
B 0.000 0.000 0.000
Sc 1.124 -0.337 3.356
Li -0.229 1.411 1.481
Li -0.590 -1.472 1.312
Mn 1.942 -0.276 0.563
```

Computed properties:
- energy relative to the elements (eV per atom) = 0.231
- density (g cm⁻³) = 2.990
- total magnetization (μB/atom) = 0.37


Record 4
This record from Alexandria describes an optimized crystal structure of LiB6Mo2. The functional is PBE-GGA.

Cell and atoms, written as extended XYZ:
```
9
Lattice="3.229 0.000 0.000 0.000 4.544 -2.623 0.000 0.000 5.247" Properties=species:S:1:pos:R:3 pbc="T T T"
Li 0.000 0.000 5.247
Mo 3.229 3.029 0.000
Mo 0.000 1.515 2.623
B 1.614 3.044 1.757
B 1.614 4.544 -0.891
B 1.614 1.500 0.866
B 1.614 3.044 3.489
B 1.614 0.000 3.514
B 1.614 1.500 -0.866
```

Computed properties:
- energy relative to the elements (eV per atom) = -0.361
- density (g cm⁻³) = 5.689
- total magnetization (μB/atom) = 0.00


Record 5
This record from Alexandria describes an optimized crystal structure of LiB2Mo. The functional is PBE-GGA.

Cell and atoms, written as extended XYZ:
```
4
Lattice="1.607 1.990 2.789 -1.315 3.440 0.870 -1.861 0.549 3.249" Properties=species:S:1:pos:R:3 pbc="T T T"
Li 0.000 0.000 0.000
B -0.392 1.495 1.727
B -1.177 4.484 5.180
Mo -0.785 2.989 3.454
```

Computed properties:
- energy relative to the elements (eV per atom) = 0.471
- excess energy over the best structure of this formula in the dataset (eV/atom) = 0.000
- density (g cm⁻³) = 5.396
- total magnetization (μB/atom) = 0.00


Record 6
This record from Alexandria describes an optimized crystal structure of Li2BMo. The functional is PBE-GGA.

Cell and atoms, written as extended XYZ:
```
8
Lattice="6.703 0.000 0.000 0.000 6.703 0.000 3.352 3.352 2.177" Properties=species:S:1:pos:R:3 pbc="T T T"
Li 5.027 5.422 1.633
Li 8.379 7.984 1.633
Li 4.633 1.676 0.544
Li 2.070 5.027 0.544
B 3.352 3.352 0.000
B 3.352 6.703 1.089
Mo 6.703 3.352 1.089
Mo 0.000 0.000 0.000
```

Computed properties:
- energy relative to the elements (eV per atom) = 0.716
- density (g cm⁻³) = 4.096
- total magnetization (μB/atom) = 0.00


Record 7
This record from Alexandria describes an optimized crystal structure of LiB2Mo. The functional is PBE-GGA.

Cell and atoms, written as extended XYZ:
```
8
Lattice="-5.581 1.187 0.114 -0.187 -0.330 -5.695 -3.394 -1.984 -2.633" Properties=species:S:1:pos:R:3 pbc="T T T"
B -4.255 0.182 -1.301
B -1.768 -0.532 -4.201
B -7.589 -0.733 -6.751
B -4.712 -1.173 -4.175
Mo 0.000 0.000 0.000
Mo -5.930 -0.185 -2.655
Li -3.232 -0.943 -5.559
Li -2.884 0.428 -2.790
```

Computed properties:
- energy relative to the elements (eV per atom) = 0.552
- excess energy over the best structure of this formula in the dataset (eV/atom) = 0.081
- density (g cm⁻³) = 5.138
- total magnetization (μB/atom) = 0.00


Record 8
This record from Alexandria describes an optimized crystal structure of LiBMo. The functional is PBE-GGA.

Cell and atoms, written as extended XYZ:
```
6
Lattice="-0.911 -3.443 1.929 1.066 -1.335 -1.879 5.775 2.612 3.137" Properties=species:S:1:pos:R:3 pbc="T T T"
B 4.625 -0.512 1.272
B 1.304 -1.655 1.916
Li -0.140 -3.211 0.486
Li 0.295 -1.567 -0.435
Mo 2.669 -0.586 0.215
Mo 3.260 -1.580 2.973
```

Computed properties:
- energy relative to the elements (eV per atom) = 0.231
- density (g cm⁻³) = 5.515
- total magnetization (μB/atom) = 0.00